KTcIrRh2 PBE optimized geometry; V = 19.0 Å³/atom; DOS at the Fermi energy = 14.48 states/eV per cell; DFT formation energy = 2.922 eV/atom; total DFT energy (no corrections) = -20.42 eV for the cell shown; calculated density = 9.377 g cm⁻³
1.0
4.502 0.000 0.000
0.000 4.502 0.000
0.000 0.000 4.676
K Tc Ir Rh
1 1 1 2
Direct
0.000 0.000 0.000
0.500 0.500 0.500
0.000 0.000 0.500
0.000 0.500 0.000
0.500 0.000 0.000